# TaMnCd2Ge | the Alexandria database | PBE | optimized geometry
# SG: No. 123
# Final energy (eV/atom): -4.574
# M_tot (μB per formula unit): 1.001
# ΔE_f (eV/f.u.): 4.60
data_TaMnCd2Ge
_chemical_formula_sum 'Ta1 Mn1 Cd2 Ge1'
_cell_length_a 5.0413
_cell_length_b 5.0413
_cell_length_c 4.4858
_cell_angle_alpha 90.00
_cell_angle_beta 90.00
_cell_angle_gamma 90.00
_symmetry_space_group_name_H-M 'P 1'
_symmetry_Int_Tables_number 1
loop_
_symmetry_equiv_pos_as_xyz
'x,y,z'
loop_
_atom_site_label
_atom_site_fract_x
_atom_site_fract_y
_atom_site_fract_z
Ta1 0.0000 0.0000 0.0000
Mn1 0.0000 0.0000 0.5000
Cd1 0.0000 0.5000 0.5000
Cd2 0.5000 0.0000 0.5000
Ge1 0.5000 0.5000 0.0000

***

# NbCrP | the Alexandria database | PBE | optimized geometry
# SG: No. 62
# Final energy (eV/atom): -9.102
# M_tot (μB per formula unit): 1.442
# ΔE_f (eV/f.u.): -2.20
data_NbCrP
_chemical_formula_sum 'Nb4 Cr4 P4'
_cell_length_a 6.2754
_cell_length_b 3.5434
_cell_length_c 7.3963
_cell_angle_alpha 90.00
_cell_angle_beta 90.00
_cell_angle_gamma 90.00
_symmetry_space_group_name_H-M 'P 1'
_symmetry_Int_Tables_number 1
loop_
_symmetry_equiv_pos_as_xyz
'x,y,z'
loop_
_atom_site_label
_atom_site_fract_x
_atom_site_fract_y
_atom_site_fract_z
Nb1 0.0308 0.2500 0.1726
Nb2 0.4692 0.7500 0.6726
Nb3 0.5308 0.2500 0.3274
Nb4 0.9692 0.7500 0.8274
Cr1 0.1423 0.2500 0.5594
Cr2 0.3577 0.7500 0.0594
Cr3 0.6423 0.2500 0.9406
Cr4 0.8577 0.7500 0.4406
P1 0.2300 0.7500 0.3686
P2 0.2700 0.2500 0.8686
P3 0.7300 0.7500 0.1314
P4 0.7700 0.2500 0.6314

***

# ScMnRe2 | the Alexandria database | PBE | optimized geometry
# SG: No. 139
# Final energy (eV/atom): -9.872
# Relative energy among the computed polymorphs (meV/atom): 280
# M_tot (μB per formula unit): 1.566
# ΔE_f (eV/f.u.): 0.91
data_ScMnRe2
_chemical_formula_sum 'Sc1 Mn1 Re2'
_cell_length_a 5.1545
_cell_length_b 5.1545
_cell_length_c 5.1545
_cell_angle_alpha 137.42
_cell_angle_beta 137.42
_cell_angle_gamma 61.79
_symmetry_space_group_name_H-M 'P 1'
_symmetry_Int_Tables_number 1
loop_
_symmetry_equiv_pos_as_xyz
'x,y,z'
loop_
_atom_site_label
_atom_site_fract_x
_atom_site_fract_y
_atom_site_fract_z
Sc1 0.0000 0.0000 0.0000
Mn1 0.5000 0.5000 0.0000
Re1 0.2500 0.7500 0.5000
Re2 0.7500 0.2500 0.5000

***

# MgSn3Pb | the Alexandria database | PBE | optimized geometry
# SG: No. 221
# Final energy (eV/atom): -2.719
# Relative energy among the computed polymorphs (meV/atom): 364
# M_tot (μB per formula unit): 0.000
# ΔE_f (eV/f.u.): 3.72
data_MgSn3Pb
_chemical_formula_sum 'Mg1 Sn3 Pb1'
_cell_length_a 5.7985
_cell_length_b 5.7985
_cell_length_c 5.7985
_cell_angle_alpha 90.00
_cell_angle_beta 90.00
_cell_angle_gamma 90.00
_symmetry_space_group_name_H-M 'P 1'
_symmetry_Int_Tables_number 1
loop_
_symmetry_equiv_pos_as_xyz
'x,y,z'
loop_
_atom_site_label
_atom_site_fract_x
_atom_site_fract_y
_atom_site_fract_z
Mg1 0.0000 0.0000 0.0000
Sn1 0.0000 0.5000 0.5000
Sn2 0.5000 0.0000 0.5000
Sn3 0.5000 0.5000 0.0000
Pb1 0.5000 0.5000 0.5000

***

Repeat the second record exactly.
# NbCrP | the Alexandria database | PBE | optimized geometry
# SG: No. 62
# Final energy (eV/atom): -9.102
# M_tot (μB per formula unit): 1.442
# ΔE_f (eV/f.u.): -2.20
data_NbCrP
_chemical_formula_sum 'Nb4 Cr4 P4'
_cell_length_a 6.2754
_cell_length_b 3.5434
_cell_length_c 7.3963
_cell_angle_alpha 90.00
_cell_angle_beta 90.00
_cell_angle_gamma 90.00
_symmetry_space_group_name_H-M 'P 1'
_symmetry_Int_Tables_number 1
loop_
_symmetry_equiv_pos_as_xyz
'x,y,z'
loop_
_atom_site_label
_atom_site_fract_x
_atom_site_fract_y
_atom_site_fract_z
Nb1 0.0308 0.2500 0.1726
Nb2 0.4692 0.7500 0.6726
Nb3 0.5308 0.2500 0.3274
Nb4 0.9692 0.7500 0.8274
Cr1 0.1423 0.2500 0.5594
Cr2 0.3577 0.7500 0.0594
Cr3 0.6423 0.2500 0.9406
Cr4 0.8577 0.7500 0.4406
P1 0.2300 0.7500 0.3686
P2 0.2700 0.2500 0.8686
P3 0.7300 0.7500 0.1314
P4 0.7700 0.2500 0.6314

***

> Among the records above, which one has the lowest M_tot?

MgSn3Pb

***

> The highest final energy belongs to which entry?

MgSn3Pb